1.
A relaxed structure of La2AlPdC. Source: Alexandria via LeMat-Bulk, functional PBE.

```
5
Lattice="5.314 0.000 0.000 0.000 5.314 0.000 0.000 0.000 3.929" Properties=species:S:1:pos:R:3 pbc="T T T"
La 0.000 2.657 0.000
La 2.657 0.000 0.000
Al 0.000 0.000 1.965
Pd 2.657 2.657 1.965
C 0.000 0.000 0.000
```

Properties
symmetry: P4/mmm, No. 123
DFT total energy: -5.946 eV/atom

2.
A relaxed structure of LaAlPt2C. Source: Alexandria via LeMat-Bulk, functional PBE.

```
5
Lattice="4.425 0.000 0.000 0.000 4.425 0.000 0.000 0.000 6.048" Properties=species:S:1:pos:R:3 pbc="T T T"
La 0.000 0.000 0.000
Al 0.000 0.000 3.024
Pt 0.000 2.213 3.024
Pt 2.213 0.000 3.024
C 2.213 2.213 0.000
```

Properties
symmetry: P4/mmm, No. 123
DFT total energy: -4.966 eV/atom

3.
A relaxed structure of RbLaAlC2. Source: Alexandria via LeMat-Bulk, functional PBE.

```
5
Lattice="4.224 0.000 0.000 0.000 4.224 0.000 0.000 0.000 5.037" Properties=species:S:1:pos:R:3 pbc="T T T"
Rb 0.000 0.000 0.000
La 2.112 2.112 0.000
Al 0.000 0.000 2.518
C 0.000 2.112 2.518
C 2.112 0.000 2.518
```

Properties
symmetry: P4/mmm, No. 123
DFT total energy: -3.944 eV/atom

4.
A relaxed structure of La2AlReC. Source: Alexandria via LeMat-Bulk, functional PBE.

```
5
Lattice="5.330 0.000 0.000 0.000 5.330 0.000 0.000 0.000 4.007" Properties=species:S:1:pos:R:3 pbc="T T T"
La 0.000 2.665 0.000
La 2.665 0.000 0.000
Al 0.000 0.000 2.003
Re 2.665 2.665 2.003
C 2.665 2.665 0.000
```

Properties
symmetry: P4/mmm, No. 123
DFT total energy: -7.164 eV/atom

| no. | DFT formation energy (eV/atom) |
| --- | --- |
| 1 | -0.343 |
| 2 | 1.029 |
| 3 | 1.673 |
| 4 | -0.110 |